1.
Crystalline ScBi2Rh2 at its relaxed geometry, computed with GGA-PBE.

Output
The theoretical density comes out at 10.50 Mg/m³. As for the total moment: 0.0 μB/cell. For the calculated formation energy, the calculation gives -1.45 eV per formula unit. The total energy is -6.05 eV per atom. As for the volume: 21.15 Å³ per atom.

Unit cell a=7.1661 b=7.1661 c=4.1193 alpha=90.00 beta=90.00 gamma=90.00
Last column: nearest neighbours and their distance in Å.
Element x y z (fractional)
Sc: 0.0000 0.0000 0.0000  4 Rh 2.78
Sc: 0.5000 0.5000 0.0000  4 Rh 2.78
Bi: 0.1688 0.3312 0.5000  6 Rh 2.85-3.02
Bi: 0.3312 0.8312 0.5000  6 Rh 2.85-3.02
Bi: 0.6688 0.1688 0.5000  6 Rh 2.85-3.02
Bi: 0.8312 0.6688 0.5000  6 Rh 2.85-3.02
Rh: 0.1375 0.6375 0.0000  2 Sc 2.78, 1 Rh 2.79, 6 Bi 2.85-3.02
Rh: 0.3625 0.1375 0.0000  2 Sc 2.78, 1 Rh 2.79, 6 Bi 2.85-3.02
Rh: 0.6375 0.8625 0.0000  2 Sc 2.78, 1 Rh 2.79, 6 Bi 2.85-3.02
Rh: 0.8625 0.3625 0.0000  2 Sc 2.78, 1 Rh 2.79, 6 Bi 2.85-3.02



2.
Crystalline KCa2Ta at its relaxed geometry, computed with GGA-PBE.

Output
The theoretical density comes out at 3.85 Mg/m³. As for the total moment: 0.0 μB/cell. For the calculated formation energy, the calculation gives 3.28 eV per formula unit. The total energy is -3.42 eV per atom. As for the volume: 32.37 Å³ per atom. The value obtained for the energy above the most stable polymorph in this dataset is 0.1820 eV/atom.

Unit cell a=3.4012 b=3.4012 c=38.7728 alpha=90.00 beta=90.00 gamma=120.00
Last column: nearest neighbours and their distance in Å.
Element x y z (fractional)
K: 0.0000 0.0000 0.0000  6 K 3.40, 3 Ta 3.70
K: 0.3333 0.6667 0.6667  6 K 3.40, 3 Ta 3.70
K: 0.6667 0.3333 0.3333  6 K 3.40, 3 Ta 3.70
Ca: 0.0000 0.0000 0.2346  6 Ca 3.40
Ca: 0.0000 0.0000 0.4802  3 Ta 3.23, 6 Ca 3.40
Ca: 0.3333 0.6667 0.1469  3 Ta 3.23, 6 Ca 3.40
Ca: 0.3333 0.6667 0.9013  6 Ca 3.40
Ca: 0.6667 0.3333 0.5679  6 Ca 3.40
Ca: 0.6667 0.3333 0.8136  3 Ta 3.23, 6 Ca 3.40
Ta: 0.0000 0.0000 0.7475  3 Ca 3.23, 6 Ta 3.40
Ta: 0.3333 0.6667 0.4141  3 Ca 3.23, 6 Ta 3.40
Ta: 0.6667 0.3333 0.0808  3 Ca 3.23, 6 Ta 3.40



3.
Crystalline FeAs3 at its relaxed geometry, computed with GGA-PBE.

Output
The theoretical density comes out at 6.77 Mg/m³. As for the total moment: 0.0 μB/cell. For the calculated formation energy, the calculation gives 0.92 eV per formula unit. The total energy is -5.37 eV per atom. As for the volume: 17.22 Å³ per atom. The value obtained for the energy above the most stable polymorph in this dataset is 0.1822 eV/atom.

Unit cell a=3.0029 b=3.0029 c=8.8183 alpha=90.00 beta=90.00 gamma=120.00
Last column: nearest neighbours and their distance in Å.
Element x y z (fractional)
Fe: 0.0000 0.0000 0.0000  6 As 2.40
As: 0.0000 0.0000 0.5000  12 As 3.00-3.25
As: 0.3333 0.6667 0.1886  3 Fe 2.40
As: 0.3333 0.6667 0.8114  3 Fe 2.40



4.
Crystalline TbDyBiO2 at its relaxed geometry, computed with GGA-PBE.

Output
The theoretical density comes out at 9.04 Mg/m³. As for the total moment: 0.0 μB/cell. The total energy is -7.29 eV per atom. As for the volume: 20.66 Å³ per atom. The uncorrected formation energy is -2.685 eV per atom.

Unit cell a=3.8961 b=3.8961 c=13.6113 alpha=90.00 beta=90.00 gamma=90.00
Last column: nearest neighbours and their distance in Å.
Element x y z (fractional)
Tb: 0.0000 0.0000 0.0000  4 O 2.25
Tb: 0.5000 0.5000 0.5000  4 O 2.25
Dy: 0.0000 0.0000 0.6636  4 O 2.24
Dy: 0.5000 0.5000 0.1636  4 O 2.24
Bi: 0.0000 0.0000 0.3316  4 Dy 3.58, 4 Tb 3.58, 4 Bi 3.90, 8 O 3.91-3.93
Bi: 0.5000 0.5000 0.8316  4 Dy 3.58, 4 Tb 3.58, 4 Bi 3.90, 8 O 3.91-3.93
O: 0.0000 0.5000 0.0827  2 Dy 2.24, 2 Tb 2.25
O: 0.0000 0.5000 0.5827  2 Dy 2.24, 2 Tb 2.25
O: 0.5000 0.0000 0.0827  2 Dy 2.24, 2 Tb 2.25
O: 0.5000 0.0000 0.5827  2 Dy 2.24, 2 Tb 2.25



5.
Crystalline NaZnGePd at its relaxed geometry, computed with GGA-PBE.

Output
The theoretical density comes out at 6.68 Mg/m³. As for the total moment: 0.0 μB/cell. For the calculated formation energy, the calculation gives -0.66 eV per formula unit. The total energy is -3.27 eV per atom. As for the volume: 16.61 Å³ per atom.

Unit cell a=6.4293 b=6.4293 c=6.4293 alpha=90.00 beta=90.00 gamma=90.00
Last column: nearest neighbours and their distance in Å.
Element x y z (fractional)
Na: 0.0000 0.0000 0.0000  4 Ge 2.78, 4 Zn 2.78
Na: 0.0000 0.5000 0.5000  4 Ge 2.78, 4 Zn 2.78
Na: 0.5000 0.0000 0.5000  4 Ge 2.78, 4 Zn 2.78
Na: 0.5000 0.5000 0.0000  4 Ge 2.78, 4 Zn 2.78
Zn: 0.2500 0.2500 0.2500  4 Na 2.78, 4 Pd 2.78
Zn: 0.2500 0.7500 0.7500  4 Na 2.78, 4 Pd 2.78
Zn: 0.7500 0.2500 0.7500  4 Na 2.78, 4 Pd 2.78
Zn: 0.7500 0.7500 0.2500  4 Na 2.78, 4 Pd 2.78
Ge: 0.2500 0.2500 0.7500  4 Na 2.78, 4 Pd 2.78
Ge: 0.2500 0.7500 0.2500  4 Na 2.78, 4 Pd 2.78
Ge: 0.7500 0.2500 0.2500  4 Na 2.78, 4 Pd 2.78
Ge: 0.7500 0.7500 0.7500  4 Na 2.78, 4 Pd 2.78
Pd: 0.0000 0.0000 0.5000  4 Ge 2.78, 4 Zn 2.78
Pd: 0.0000 0.5000 0.0000  4 Ge 2.78, 4 Zn 2.78
Pd: 0.5000 0.0000 0.0000  4 Ge 2.78, 4 Zn 2.78
Pd: 0.5000 0.5000 0.5000  4 Ge 2.78, 4 Zn 2.78



6.
Crystalline Bi2Br2O at its relaxed geometry, computed with GGA-PBE.

Output
The theoretical density comes out at 6.24 Mg/m³. As for the total moment: 0.0 μB/cell. The total energy is -3.40 eV per atom. As for the volume: 31.62 Å³ per atom. The value obtained for the energy above the most stable polymorph in this dataset is 0.2898 eV/atom. The uncorrected formation energy is -0.191 eV per atom.

Unit cell a=3.2931 b=3.2931 c=14.5791 alpha=90.00 beta=90.00 gamma=90.00
Last column: nearest neighbours and their distance in Å.
Element x y z (fractional)
Bi: 0.0000 0.0000 0.1446  1 O 2.11
Bi: 0.0000 0.0000 0.8554  1 O 2.11
Br: 0.0000 0.0000 0.3524  1 Bi 3.03, 4 Br 3.29
Br: 0.0000 0.0000 0.6476  1 Bi 3.03, 4 Br 3.29
O: 0.0000 0.0000 0.0000  2 Bi 2.11



7.
Crystalline Pa2AlS6 at its relaxed geometry, computed with GGA-PBE.

Output
The theoretical density comes out at 5.16 Mg/m³. As for the total moment: 1.8 μB/cell. The total energy is -6.59 eV per atom. As for the volume: 24.36 Å³ per atom. The value obtained for the energy above the most stable polymorph in this dataset is 0.0970 eV/atom. The uncorrected formation energy is -1.311 eV per atom.

Unit cell a=6.0823 b=6.0823 c=11.8536 alpha=90.00 beta=90.00 gamma=90.00
Last column: nearest neighbours and their distance in Å.
Element x y z (fractional)
Pa: 0.0000 0.0000 0.1654  6 S 2.65-2.69
Pa: 0.0000 0.0000 0.8346  6 S 2.65-2.69
Pa: 0.5000 0.5000 0.3346  6 S 2.65-2.69
Pa: 0.5000 0.5000 0.6654  6 S 2.65-2.69
Al: 0.0000 0.0000 0.5000  6 S 2.44-2.52
Al: 0.5000 0.5000 0.0000  6 S 2.44-2.52
S: 0.1885 0.1885 0.3462  1 Al 2.44, 2 Pa 2.68-2.69
S: 0.1885 0.1885 0.6538  1 Al 2.44, 2 Pa 2.68-2.69
S: 0.2076 0.2076 0.0000  1 Al 2.52, 2 Pa 2.65
S: 0.2924 0.7076 0.5000  1 Al 2.52, 2 Pa 2.65
S: 0.3115 0.6885 0.1538  1 Al 2.44, 2 Pa 2.68-2.69
S: 0.3115 0.6885 0.8462  1 Al 2.44, 2 Pa 2.68-2.69
S: 0.6885 0.3115 0.1538  1 Al 2.44, 2 Pa 2.68-2.69
S: 0.6885 0.3115 0.8462  1 Al 2.44, 2 Pa 2.68-2.69
S: 0.7076 0.2924 0.5000  1 Al 2.52, 2 Pa 2.65
S: 0.7924 0.7924 0.0000  1 Al 2.52, 2 Pa 2.65
S: 0.8115 0.8115 0.3462  1 Al 2.44, 2 Pa 2.68-2.69
S: 0.8115 0.8115 0.6538  1 Al 2.44, 2 Pa 2.68-2.69



8.
Crystalline Al2TeMo at its relaxed geometry, computed with GGA-PBE.

Output
The theoretical density comes out at 6.19 Mg/m³. As for the total moment: 0.0 μB/cell. The total energy is -5.03 eV per atom. As for the volume: 18.61 Å³ per atom. The uncorrected formation energy is 0.331 eV per atom.

Unit cell a=5.6649 b=9.4850 c=3.3362 alpha=90.00 beta=123.85 gamma=90.00
Last column: nearest neighbours and their distance in Å.
Element x y z (fractional)
Al: 0.2500 0.2500 0.0000  2 Mo 2.79, 2 Te 2.79, 4 Al 2.83-2.94
Al: 0.2500 0.7500 0.0000  2 Mo 2.79, 2 Te 2.79, 4 Al 2.83-2.94
Al: 0.7500 0.2500 0.0000  2 Mo 2.79, 2 Te 2.79, 4 Al 2.83-2.94
Al: 0.7500 0.7500 0.0000  2 Mo 2.79, 2 Te 2.79, 4 Al 2.83-2.94
Te: 0.0000 0.0000 0.5000  4 Al 2.79, 4 Mo 2.83-2.94
Te: 0.5000 0.5000 0.5000  4 Al 2.79, 4 Mo 2.83-2.94
Mo: 0.0000 0.5000 0.5000  4 Al 2.79, 4 Te 2.83-2.94
Mo: 0.5000 0.0000 0.5000  4 Al 2.79, 4 Te 2.83-2.94



9.
Crystalline Mg5Si6 at its relaxed geometry, computed with GGA-PBE.

Output
The theoretical density comes out at 2.39 Mg/m³. As for the total moment: 0.0 μB/cell. The total energy is -3.59 eV per atom. As for the volume: 18.28 Å³ per atom. The value obtained for the energy above the most stable polymorph in this dataset is 0.0715 eV/atom. The uncorrected formation energy is 0.097 eV per atom.

Unit cell a=5.3501 b=5.6598 c=13.5193 alpha=89.06 beta=82.22 gamma=82.66
Last column: nearest neighbours and their distance in Å.
Element x y z (fractional)
Mg: 0.0000 0.0000 0.0000  5 Si 2.73-3.00
Mg: 0.0044 0.9127 0.5834  7 Si 2.73-3.00, 3 Mg 2.94-3.06
Mg: 0.2422 0.5147 0.7056  8 Si 2.76-3.06, 3 Mg 3.02-3.06
Mg: 0.3779 0.4468 0.0698  7 Si 2.74-3.02
Mg: 0.4789 0.1443 0.8729  6 Si 2.87-3.04, 2 Mg 3.08-3.14
Mg: 0.4976 0.6534 0.2849  8 Si 2.80-3.01, 1 Mg 3.04
Mg: 0.5267 0.6993 0.5137  5 Si 2.72-3.04, 3 Mg 2.94-3.04
Mg: 0.6538 0.1928 0.4501  6 Si 2.76-3.05, 3 Mg 2.97-3.06
Mg: 0.9011 0.4964 0.9034  5 Si 2.66-2.86
Mg: 0.9792 0.3032 0.2435  7 Si 2.78-3.05, 1 Mg 3.04
Si: 0.0024 0.0845 0.7804  3 Si 2.60-2.73, 3 Mg 2.84-2.89
Si: 0.0585 0.8194 0.1951  3 Si 2.37-2.56
Si: 0.1110 0.4296 0.5019  3 Si 2.49-2.60
Si: 0.2090 0.0600 0.3983  3 Si 2.43-2.50
Si: 0.3812 0.6544 0.8826  1 Si 2.45
Si: 0.4351 0.0328 0.6643  3 Si 2.41-2.69
Si: 0.4558 0.9499 0.1015  3 Si 2.46-2.55
Si: 0.4928 0.1672 0.2536  2 Si 2.43-2.46
Si: 0.7061 0.7428 0.7466  3 Si 2.41-2.55
Si: 0.7726 0.3492 0.6516  4 Si 2.55-2.69, 1 Mg 2.73
Si: 0.8236 0.6131 0.0956  2 Si 2.37-2.55, 1 Mg 2.66
Si: 0.9518 0.7295 0.3812  3 Si 2.49-2.56, 1 Mg 2.72



10.
Crystalline Zr2NiSb at its relaxed geometry, computed with GGA-PBE.

Output
The theoretical density comes out at 7.69 Mg/m³. As for the total moment: 0.0 μB/cell. The total energy is -7.12 eV per atom. As for the volume: 19.59 Å³ per atom. The uncorrected formation energy is -0.368 eV per atom.

Unit cell a=5.7553 b=7.6754 c=3.5475 alpha=90.00 beta=90.00 gamma=90.00
Last column: nearest neighbours and their distance in Å.
Element x y z (fractional)
Zr: 0.2500 0.2500 0.0000  2 Zr 2.88, 4 Sb 2.98, 4 Ni 2.98
Zr: 0.2500 0.7500 0.0000  2 Zr 2.88, 4 Sb 2.98, 4 Ni 2.98
Zr: 0.7500 0.2500 0.0000  2 Zr 2.88, 4 Sb 2.98, 4 Ni 2.98
Zr: 0.7500 0.7500 0.0000  2 Zr 2.88, 4 Sb 2.98, 4 Ni 2.98
Ni: 0.0000 0.0000 0.5000  2 Sb 2.88, 8 Zr 2.98
Ni: 0.5000 0.5000 0.5000  2 Sb 2.88, 8 Zr 2.98
Sb: 0.0000 0.5000 0.5000  2 Ni 2.88, 8 Zr 2.98
Sb: 0.5000 0.0000 0.5000  2 Ni 2.88, 8 Zr 2.98



11.
Crystalline TmHfAlIn at its relaxed geometry, computed with GGA-PBE.

Output
The theoretical density comes out at 9.16 Mg/m³. As for the total moment: 0.0 μB/cell. For the calculated formation energy, the calculation gives -0.72 eV per formula unit. The total energy is -5.41 eV per atom. As for the volume: 22.18 Å³ per atom.

Unit cell a=7.0795 b=7.0795 c=7.0795 alpha=90.00 beta=90.00 gamma=90.00
Last column: nearest neighbours and their distance in Å.
Element x y z (fractional)
Tm: 0.0000 0.0000 0.0000  4 Al 3.07, 4 In 3.07
Tm: 0.0000 0.5000 0.5000  4 Al 3.07, 4 In 3.07
Tm: 0.5000 0.0000 0.5000  4 Al 3.07, 4 In 3.07
Tm: 0.5000 0.5000 0.0000  4 Al 3.07, 4 In 3.07
Hf: 0.0000 0.0000 0.5000  4 In 3.07, 4 Al 3.07
Hf: 0.0000 0.5000 0.0000  4 In 3.07, 4 Al 3.07
Hf: 0.5000 0.0000 0.0000  4 In 3.07, 4 Al 3.07
Hf: 0.5000 0.5000 0.5000  4 In 3.07, 4 Al 3.07
Al: 0.2500 0.2500 0.2500  4 Hf 3.07, 4 Tm 3.07
Al: 0.2500 0.7500 0.7500  4 Hf 3.07, 4 Tm 3.07
Al: 0.7500 0.2500 0.7500  4 Hf 3.07, 4 Tm 3.07
Al: 0.7500 0.7500 0.2500  4 Hf 3.07, 4 Tm 3.07
In: 0.2500 0.2500 0.7500  4 Hf 3.07, 4 Tm 3.07
In: 0.2500 0.7500 0.2500  4 Hf 3.07, 4 Tm 3.07
In: 0.7500 0.2500 0.2500  4 Hf 3.07, 4 Tm 3.07
In: 0.7500 0.7500 0.7500  4 Hf 3.07, 4 Tm 3.07